! KCdSbTe2 PBE-GGA optimized geometry; values from VASP
! - Size of the total moment: 0.00 Bohr magnetons per cell
! - Theoretical density: 4055 kg/m³
! - ΔE to the lowest computed polymorph: 0.8601 eV per atom
! - Energy relative to the elements, uncorrected: 0.890 eV/atom
! - SG: P4/mmm
&SYSTEM
  ibrav = 0, nat = 5, ntyp = 4
/
ATOMIC_SPECIES
K 39.10 K.upf
Cd 112.41 Cd.upf
Sb 121.76 Sb.upf
Te 127.60 Te.upf
CELL_PARAMETERS angstrom
6.018 0.000 0.000
0.000 6.018 0.000
0.000 0.000 5.976
ATOMIC_POSITIONS angstrom
K 0.000 0.000 0.000
Cd 3.009 3.009 2.988
Sb 0.000 0.000 2.988
Te 0.000 3.009 0.000
Te 3.009 0.000 0.000